VASP calculation (PBE) on a relaxed structure of Tb5Y3In2.

The structure in POSCAR format:
```
Tb5Y3In2
1.0
-6.405 7.781 3.192
6.405 -7.781 3.192
6.405 7.781 -3.192
Tb Y In
10 6 4
direct
0.164 0.125 0.288
0.250 0.001 0.751
0.250 0.250 0.000
0.250 0.499 0.249
0.336 0.625 0.961
0.664 0.375 0.039
0.750 0.501 0.751
0.750 0.750 0.000
0.750 0.999 0.249
0.836 0.875 0.712
0.229 0.389 0.618
0.250 0.750 0.500
0.271 0.889 0.159
0.729 0.111 0.841
0.750 0.250 0.500
0.771 0.611 0.382
0.146 0.633 0.779
0.354 0.133 0.487
0.646 0.867 0.513
0.854 0.367 0.221
```

Properties
- symmetry = Ibam, No. 72
- calculated formation energy (eV/f.u.) = 0.87



VASP calculation (PBE) on a relaxed structure of Tb6Y3In.

The structure in POSCAR format:
```
Tb6Y3In
1.0
5.487 -9.424 0.000
5.487 9.424 0.000
0.000 0.000 6.141
Tb Y In
12 6 2
direct
0.053 0.482 0.901
0.056 0.944 0.500
0.271 0.729 0.222
0.288 0.387 0.088
0.387 0.288 0.588
0.482 0.053 0.401
0.518 0.947 0.901
0.613 0.712 0.088
0.712 0.613 0.588
0.729 0.271 0.722
0.944 0.056 0.000
0.947 0.518 0.401
0.056 0.269 0.519
0.269 0.056 0.019
0.390 0.610 0.616
0.610 0.390 0.116
0.731 0.944 0.519
0.944 0.731 0.019
0.212 0.788 0.699
0.788 0.212 0.199
```

Properties
- ΔE to the lowest computed polymorph (eV/atom) = 0.000
- symmetry = Cmc2_1, No. 36
- calculated formation energy (eV/f.u.) = 0.04



VASP calculation (PBE) on a relaxed structure of Tb3Y3In2.

The structure in POSCAR format:
```
Tb3Y3In2
1.0
2.599 -5.928 0.000
2.599 5.928 0.000
0.000 0.000 15.843
Tb Y In
6 6 4
direct
0.039 0.961 0.750
0.143 0.857 0.030
0.143 0.857 0.470
0.857 0.143 0.530
0.857 0.143 0.970
0.961 0.039 0.250
0.242 0.758 0.250
0.460 0.540 0.104
0.460 0.540 0.396
0.540 0.460 0.604
0.540 0.460 0.896
0.758 0.242 0.750
0.275 0.725 0.643
0.275 0.725 0.857
0.725 0.275 0.143
0.725 0.275 0.357
```

Properties
- ΔE to the lowest computed polymorph (eV/atom) = 0.111
- symmetry = Cmcm, No. 63
- calculated formation energy (eV/f.u.) = -1.30



VASP calculation (PBE) on a relaxed structure of Tb4Y3In2.

The structure in POSCAR format:
```
Tb4Y3In2
1.0
6.262 -2.656 0.000
6.262 2.656 0.000
-2.226 0.000 8.147
Tb Y In
4 3 2
direct
0.121 0.121 0.157
0.329 0.329 0.536
0.671 0.671 0.464
0.879 0.879 0.843
0.000 0.000 0.500
0.423 0.423 0.153
0.577 0.577 0.847
0.211 0.211 0.818
0.789 0.789 0.182
```

Properties
- symmetry = C2/m, No. 12
- calculated formation energy (eV/f.u.) = -1.88



VASP calculation (PBE) on a relaxed structure of Tb2YIn.

The structure in POSCAR format:
```
Tb2YIn
1.0
0.000 3.869 3.869
3.869 0.000 3.869
3.869 3.869 0.000
Tb Y In
2 1 1
direct
0.250 0.250 0.250
0.750 0.750 0.750
0.000 0.000 0.000
0.500 0.500 0.500
```

Properties
- ΔE to the lowest computed polymorph (eV/atom) = 0.152
- symmetry = Fm-3m, No. 225
- calculated formation energy (eV/f.u.) = -0.48



VASP calculation (PBE) on a relaxed structure of TbY2In.

The structure in POSCAR format:
```
TbY2In
1.0
3.601 0.000 0.000
0.000 3.601 0.000
0.000 0.000 9.183
Tb Y In
1 2 1
direct
0.000 0.000 0.000
0.500 0.500 0.275
0.500 0.500 0.725
0.000 0.000 0.500
```

Properties
- ΔE to the lowest computed polymorph (eV/atom) = 0.027
- symmetry = P4/mmm, No. 123
- calculated formation energy (eV/f.u.) = -0.99



VASP calculation (PBE) on a relaxed structure of Tb5Y4In.

The structure in POSCAR format:
```
Tb5Y4In
1.0
4.122 0.000 0.000
0.000 4.122 0.000
0.000 0.000 18.383
Tb Y In
5 4 1
direct
0.000 0.000 0.000
0.000 0.000 0.206
0.000 0.000 0.411
0.000 0.000 0.589
0.000 0.000 0.794
0.500 0.500 0.103
0.500 0.500 0.306
0.500 0.500 0.694
0.500 0.500 0.897
0.500 0.500 0.500
```

Properties
- ΔE to the lowest computed polymorph (eV/atom) = 0.000
- symmetry = P4/mmm, No. 123
- calculated formation energy (eV/f.u.) = 0.10



VASP calculation (PBE) on a relaxed structure of Tb5YIn2.

The structure in POSCAR format:
```
Tb5YIn2
1.0
6.886 0.000 0.000
0.000 13.771 0.000
0.000 0.000 4.844
Tb Y In
10 2 4
direct
0.000 0.000 0.000
0.003 0.249 0.000
0.248 0.875 0.500
0.252 0.375 0.500
0.497 0.749 0.000
0.500 0.500 0.000
0.503 0.251 0.000
0.748 0.625 0.500
0.752 0.125 0.500
0.997 0.751 0.000
0.000 0.500 0.000
0.500 0.000 0.000
0.248 0.624 0.500
0.252 0.124 0.500
0.748 0.876 0.500
0.752 0.376 0.500
```

Properties
- ΔE to the lowest computed polymorph (eV/atom) = 0.000
- symmetry = Pbam, No. 55
- calculated formation energy (eV/f.u.) = -2.18



VASP calculation (PBE) on a relaxed structure of Tb4Y7In.

The structure in POSCAR format:
```
Tb4Y7In
1.0
8.062 -2.939 0.000
8.062 2.939 0.000
-4.132 0.000 8.360
Tb Y In
4 7 1
direct
0.100 0.100 0.486
0.235 0.235 0.277
0.765 0.765 0.723
0.900 0.900 0.514
0.000 0.000 0.000
0.216 0.216 0.897
0.340 0.340 0.668
0.436 0.436 0.276
0.564 0.564 0.724
0.660 0.660 0.332
0.784 0.784 0.103
0.500 0.500 0.000
```

Properties
- ΔE to the lowest computed polymorph (eV/atom) = 0.000
- symmetry = C2/m, No. 12
- calculated formation energy (eV/f.u.) = 1.62



VASP calculation (PBE) on a relaxed structure of Tb3Y3In.

The structure in POSCAR format:
```
Tb3Y3In
1.0
9.424 0.000 0.000
-4.712 8.162 0.000
0.000 0.000 5.558
Tb Y In
6 6 2
direct
0.064 0.822 0.250
0.178 0.242 0.250
0.242 0.064 0.750
0.758 0.936 0.250
0.822 0.758 0.750
0.936 0.178 0.750
0.106 0.626 0.750
0.374 0.480 0.750
0.480 0.106 0.250
0.520 0.894 0.750
0.626 0.520 0.250
0.894 0.374 0.250
0.333 0.667 0.250
0.667 0.333 0.750
```

Properties
- symmetry = P6_3/m, No. 176
- calculated formation energy (eV/f.u.) = -0.79